Below is crystalline AsPb4Br at its relaxed geometry, with properties calculated at the PBE level.

Summary:
Formation energy without anion corrections   271 meV per atom
SG   F-43m, No. 216
Energy   -19.5 eV for the cell shown

a b c (Å): 6.454 6.454 6.454
angles (deg): 60.00 60.00 60.00
Sites, in units of the cell vectors:
As 0.000 0.000 0.000
Pb 0.374 0.374 0.374
Pb 0.374 0.374 0.877
Pb 0.374 0.877 0.374
Pb 0.877 0.374 0.374
Br 0.750 0.750 0.750

=====

Below is crystalline Pm4AlZnCd2 at its relaxed geometry, with properties calculated at the PBE level.

Summary:
Energy of formation from the pure elements   -0.314 eV per atom
SG   R-3m, No. 166
Energy   -28.4 eV for the cell shown

a b c (Å): 9.229 9.229 9.229
angles (deg): 33.46 33.46 33.46
Sites, in units of the cell vectors:
Pm 0.124 0.124 0.124
Pm 0.374 0.374 0.374
Pm 0.626 0.626 0.626
Pm 0.876 0.876 0.876
Al 0.500 0.500 0.500
Zn 0.000 0.000 0.000
Cd 0.249 0.249 0.249
Cd 0.751 0.751 0.751

=====

Below is crystalline LaPr4Sm6 at its relaxed geometry, with properties calculated at the PBE level.

Summary:
Energy of formation from the pure elements   0.386 eV per atom
SG   I-42m, No. 121
Energy   -48.1 eV for the cell shown

a b c (Å): 8.674 8.674 8.674
angles (deg): 126.21 126.21 79.54
Sites, in units of the cell vectors:
La 0.000 0.000 0.000
Pr 0.250 0.250 0.653
Pr 0.404 0.750 0.000
Pr 0.596 0.596 0.347
Pr 0.750 0.404 0.000
Sm 0.000 0.500 0.500
Sm 0.054 0.571 0.000
Sm 0.429 0.429 0.482
Sm 0.500 0.000 0.500
Sm 0.571 0.054 0.000
Sm 0.946 0.946 0.518

=====

Below is crystalline ScC3 at its relaxed geometry, with properties calculated at the PBE level.

Summary:
Distance to the lowest polymorph of the same formula   0 meV per atom
Energy of formation from the pure elements   0.248 eV per atom
SG   P-1, No. 2
Energy   -33.0 eV for the cell shown

a b c (Å): 3.502 3.659 3.818
angles (deg): 95.86 114.68 100.07
Sites, in units of the cell vectors:
Sc 0.000 0.000 0.000
C 0.482 0.379 0.818
C 0.500 0.500 0.500
C 0.518 0.621 0.182

=====

Below is crystalline ScTlF at its relaxed geometry, with properties calculated at the PBE level.

Summary:
Formation energy without anion corrections   -1662 meV per atom
SG   P4/nmm, No. 129
Energy   -31.1 eV for the cell shown

a b c (Å): 3.769 3.769 7.743
angles (deg): 90.00 90.00 90.00
Sites, in units of the cell vectors:
Sc 0.250 0.250 0.172
Sc 0.750 0.750 0.828
Tl 0.250 0.250 0.609
Tl 0.750 0.750 0.391
F 0.250 0.750 0.000
F 0.750 0.250 0.000

=====

Below is crystalline CaAgRu3 at its relaxed geometry, with properties calculated at the PBE level.

Summary:
Distance to the lowest polymorph of the same formula   0 meV per atom
Energy of formation from the pure elements   1.720 eV per atom
SG   Pm-3m, No. 221
Energy   -24.1 eV for the cell shown

a b c (Å): 4.899 4.899 4.899
angles (deg): 90.00 90.00 90.00
Sites, in units of the cell vectors:
Ca 0.000 0.000 0.000
Ag 0.500 0.500 0.500
Ru 0.000 0.500 0.500
Ru 0.500 0.000 0.500
Ru 0.500 0.500 0.000

=====

Below is crystalline K4CdFe at its relaxed geometry, with properties calculated at the PBE level.

Summary:
Energy of formation from the pure elements   0.768 eV per atom
SG   F-43m, No. 216
Energy   -9.2 eV for the cell shown

a b c (Å): 7.536 7.536 7.536
angles (deg): 60.00 60.00 60.00
Sites, in units of the cell vectors:
K 0.125 0.125 0.125
K 0.125 0.125 0.624
K 0.125 0.624 0.125
K 0.624 0.125 0.125
Cd 0.750 0.750 0.750
Fe 0.500 0.500 0.500

=====

Below is crystalline Pr4In3Ni at its relaxed geometry, with properties calculated at the PBE level.

Summary:
Energy of formation from the pure elements   -0.404 eV per atom
SG   P4/mmm, No. 123
Energy   -36.4 eV for the cell shown

a b c (Å): 3.644 3.644 16.720
angles (deg): 90.00 90.00 90.00
Sites, in units of the cell vectors:
Pr 0.000 0.000 0.101
Pr 0.000 0.000 0.367
Pr 0.000 0.000 0.633
Pr 0.000 0.000 0.899
In 0.500 0.500 0.235
In 0.500 0.500 0.500
In 0.500 0.500 0.765
Ni 0.500 0.500 0.000

=====

Q: Which of these has the highest energy?
A: K4CdFe